Record 1
# AcEuMgNi

A relaxed structure of AcEuMgNi (GGA-PBE, the Alexandria database).

Summary:
**Formation energy**: 0.031 eV per atom
**DOS at the Fermi energy**: 2.23 states/eV/atom

Geometry as POSCAR:
```
AcEuMgNi
1.0
0.000 3.827 3.827
3.827 0.000 3.827
3.827 3.827 0.000
Ac Eu Mg Ni
1 1 1 1
Direct
0.000 0.000 0.000
0.500 0.500 0.500
0.250 0.250 0.250
0.750 0.750 0.750
```

=====

Record 2
# AcEuMgPb

A relaxed structure of AcEuMgPb (GGA-PBE, the Alexandria database).

Summary:
**Formation energy**: -0.323 eV per atom
**DOS at the Fermi energy**: 0.78 states/eV/atom

Geometry as POSCAR:
```
AcEuMgPb
1.0
0.000 4.069 4.069
4.069 0.000 4.069
4.069 4.069 0.000
Ac Eu Mg Pb
1 1 1 1
Direct
0.000 0.000 0.000
0.500 0.500 0.500
0.250 0.250 0.250
0.750 0.750 0.750
```

=====

Record 3
# AcPmEuMg

A relaxed structure of AcPmEuMg (GGA-PBE, the Alexandria database).

Summary:
**Formation energy**: 0.107 eV per atom
**DOS at the Fermi energy**: 1.11 states/eV/atom

Geometry as POSCAR:
```
AcPmEuMg
1.0
0.000 4.157 4.157
4.157 0.000 4.157
4.157 4.157 0.000
Ac Pm Eu Mg
1 1 1 1
Direct
0.000 0.000 0.000
0.750 0.750 0.750
0.250 0.250 0.250
0.500 0.500 0.500
```

=====

Record 4
# AcEuMgPt

A relaxed structure of AcEuMgPt (GGA-PBE, the Alexandria database).

Summary:
**Formation energy**: -0.450 eV per atom
**DOS at the Fermi energy**: 2.20 states/eV/atom

Geometry as POSCAR:
```
AcEuMgPt
1.0
0.000 3.831 3.831
3.831 0.000 3.831
3.831 3.831 0.000
Ac Eu Mg Pt
1 1 1 1
Direct
0.000 0.000 0.000
0.500 0.500 0.500
0.750 0.750 0.750
0.250 0.250 0.250
```

=====

Number 1: VASP energy -5.409 eV/atom. Number 2: VASP energy -5.244 eV/atom. Number 3: VASP energy -5.075 eV/atom. Number 4: VASP energy -5.954 eV/atom.